# Na5As4 | Alexandria | PBE | optimized geometry
# DFT formation energy	-0.40	eV per atom
# magnetization	0.00	Bohr magnetons per cell
# final energy	-3.197	eV/atom
data_Na5As4
_chemical_formula_sum 'Na10 As8'
_cell_length_a 10.553
_cell_length_b 4.668
_cell_length_c 9.658
_cell_angle_alpha 90.00
_cell_angle_beta 110.36
_cell_angle_gamma 90.00
_symmetry_space_group_name_H-M 'C 1 2/m 1'
_symmetry_Int_Tables_number 12
loop_
_symmetry_equiv_pos_as_xyz
'x,y,z'
'-x,-y,-z'
'-x,y,-z'
'x,-y,z'
'x+1/2,y+1/2,z'
'-x+1/2,-y+1/2,-z'
'-x+1/2,y+1/2,-z'
'x+1/2,-y+1/2,z'
loop_
_atom_site_label
_atom_site_fract_x
_atom_site_fract_y
_atom_site_fract_z
_atom_site_occupancy
Na1 0.000 0.000 0.000 1
Na2 0.100 0.000 0.386 1
Na3 0.245 0.000 0.837 1
As1 0.044 0.500 0.830 1
As2 0.107 0.500 0.607 1